VASP calculation (PBE-GGA) on crystalline Si3Cl8 at its relaxed geometry.

It has space group F-43c (No. 219), with a = 18.473 Å, b = 18.473 Å, c = 18.473 Å, α = 90.00°, β = 90.00° and γ = 90.00°. The asymmetric unit holds Si at (0.000, 0.000, 0.000), Si at (0.074, 0.074, 0.074), Si at (0.250, 0.250, 0.250), Cl at (0.016, 0.112, 0.161) and Cl at (0.186, 0.186, 0.314).

As for the crystal system: cubic. The magnetic moment comes out at 0.0 μB/f.u. Its total energy is -693.81 eV for the cell shown.

=====

VASP calculation (PBE-GGA) on crystalline Ce2CdPd7 at its relaxed geometry.

It has space group Cmmm (No. 65), with a = 7.267 Å, b = 14.996 Å, c = 4.040 Å, α = 90.00°, β = 90.00° and γ = 90.00°. The asymmetric unit holds Ce at (0.000, 0.186, 0.000), Cd at (0.000, 0.500, 0.500), Pd at (0.000, 0.000, 0.000), Pd at (0.000, 0.311, 0.500) and Pd at (0.188, 0.400, 0.000).

As for the crystal system: orthorhombic. The magnetic moment comes out at 0.8 μB/f.u. Its total energy is -102.51 eV for the cell shown.

=====

- magnetic moment of number 1 (Si3Cl8)?
  0.0 μB/f.u.